1.
DFT (PBE-GGA) results for a relaxed structure of La3Nd2Ho4.

Unit cell a=6.268 b=6.268 c=10.920 alpha=106.18 beta=106.18 gamma=48.62
Element x y z (fractional)
La  0.000  0.000  0.000
La  0.333  0.333  0.442
La  0.667  0.667  0.558
Nd  0.334  0.334  0.781
Nd  0.666  0.666  0.219
Ho  0.000  0.000  0.333
Ho  0.000  0.000  0.667
Ho  0.334  0.334  0.111
Ho  0.666  0.666  0.889

Values from the calculation:
Its calculated volume is 34.06 Å³ per atom. For the final energy, the calculation gives -4.708 eV/atom. The value obtained for the relative energy among the computed polymorphs is 0 kJ/mol of formula units. The formation enthalpy at 0 K comes out at 0.029 eV/atom. As for the total magnetization: 0.00 μB/cell. The density comes out at 7394 kg/m3.



2.
DFT (PBE-GGA) results for a relaxed structure of LaNd2Ho3.

Unit cell a=8.091 b=8.091 c=11.421 alpha=115.13 beta=115.13 gamma=36.90
Element x y z (fractional)
La  0.126  0.126  0.129
La  0.874  0.874  0.871
Nd  0.205  0.205  0.870
Nd  0.459  0.459  0.129
Nd  0.541  0.541  0.871
Nd  0.795  0.795  0.130
Ho  0.043  0.043  0.381
Ho  0.289  0.289  0.618
Ho  0.377  0.377  0.381
Ho  0.623  0.623  0.619
Ho  0.711  0.711  0.382
Ho  0.957  0.957  0.619

Values from the calculation:
Its calculated volume is 33.45 Å³ per atom. For the final energy, the calculation gives -4.674 eV/atom. The value obtained for the relative energy among the computed polymorphs is 0 kJ/mol of formula units. The formation enthalpy at 0 K comes out at 0.025 eV/atom. As for the total magnetization: 0.00 μB/cell. The density comes out at 7630 kg/m3.



3.
DFT (PBE-GGA) results for a relaxed structure of La2Nd4Ho3.

Unit cell a=3.645 b=3.645 c=27.223 alpha=90.00 beta=90.00 gamma=120.00
Element x y z (fractional)
La  0.000  0.000  0.000
La  0.000  0.000  0.215
Nd  0.000  0.000  0.348
Nd  0.000  0.000  0.559
Nd  0.333  0.667  0.671
Nd  0.333  0.667  0.884
Ho  0.000  0.000  0.778
Ho  0.333  0.667  0.109
Ho  0.333  0.667  0.452

Values from the calculation:
Its calculated volume is 34.80 Å³ per atom. For the final energy, the calculation gives -4.685 eV/atom. The value obtained for the relative energy among the computed polymorphs is 9 kJ/mol of formula units. The formation enthalpy at 0 K comes out at 0.055 eV/atom. As for the total magnetization: 0.00 μB/cell. The density comes out at 7154 kg/m3.



4.
DFT (PBE-GGA) results for a relaxed structure of La3Nd2Ho.

Unit cell a=6.409 b=6.409 c=11.992 alpha=90.00 beta=90.00 gamma=120.00
Element x y z (fractional)
La  0.000  0.331  0.250
La  0.000  0.669  0.750
La  0.331  0.000  0.250
La  0.331  0.331  0.750
La  0.669  0.000  0.750
La  0.669  0.669  0.250
Nd  0.333  0.667  0.000
Nd  0.333  0.667  0.500
Nd  0.667  0.333  0.000
Nd  0.667  0.333  0.500
Ho  0.000  0.000  0.000
Ho  0.000  0.000  0.500

Values from the calculation:
Its calculated volume is 35.55 Å³ per atom. For the final energy, the calculation gives -4.793 eV/atom. The value obtained for the relative energy among the computed polymorphs is 0 kJ/mol of formula units. The formation enthalpy at 0 K comes out at 0.023 eV/atom. As for the total magnetization: 0.00 μB/cell. The density comes out at 6773 kg/m3.



5.
DFT (PBE-GGA) results for a relaxed structure of La2NdHo12.

Unit cell a=6.644 b=6.644 c=24.535 alpha=92.24 beta=92.24 gamma=115.20
Element x y z (fractional)
La  0.066  0.066  0.274
La  0.432  0.432  0.726
La  0.568  0.568  0.274
La  0.934  0.934  0.726
Nd  0.250  0.250  0.000
Nd  0.750  0.750  0.000
Ho  0.049  0.549  0.201
Ho  0.082  0.581  0.332
Ho  0.140  0.637  0.554
Ho  0.141  0.141  0.571
Ho  0.217  0.217  0.864
Ho  0.233  0.733  0.925
Ho  0.267  0.767  0.075
Ho  0.283  0.283  0.136
Ho  0.356  0.356  0.430
Ho  0.363  0.860  0.446
Ho  0.419  0.918  0.668
Ho  0.451  0.951  0.799
Ho  0.549  0.049  0.201
Ho  0.581  0.082  0.332
Ho  0.637  0.140  0.554
Ho  0.644  0.644  0.570
Ho  0.717  0.717  0.864
Ho  0.733  0.233  0.925
Ho  0.767  0.267  0.075
Ho  0.783  0.783  0.136
Ho  0.859  0.859  0.429
Ho  0.860  0.363  0.446
Ho  0.918  0.419  0.668
Ho  0.951  0.451  0.799

Values from the calculation:
Its calculated volume is 32.58 Å³ per atom. For the final energy, the calculation gives -4.531 eV/atom. The formation enthalpy at 0 K comes out at 0.106 eV/atom. As for the total magnetization: 0.00 μB/cell. The density comes out at 8160 kg/m3.



6.
DFT (PBE-GGA) results for a relaxed structure of La2Nd6Ho.

Unit cell a=11.022 b=11.022 c=5.219 alpha=90.00 beta=90.00 gamma=90.00
Element x y z (fractional)
La  0.164  0.164  0.000
La  0.336  0.664  0.500
La  0.664  0.336  0.500
La  0.836  0.836  0.000
Nd  0.000  0.333  0.500
Nd  0.000  0.667  0.500
Nd  0.167  0.500  0.000
Nd  0.167  0.833  0.000
Nd  0.333  0.000  0.500
Nd  0.333  0.333  0.500
Nd  0.500  0.167  0.000
Nd  0.500  0.833  0.000
Nd  0.667  0.000  0.500
Nd  0.667  0.667  0.500
Nd  0.833  0.167  0.000
Nd  0.833  0.500  0.000
Ho  0.000  0.000  0.500
Ho  0.500  0.500  0.000

Values from the calculation:
Its calculated volume is 35.22 Å³ per atom. For the final energy, the calculation gives -4.765 eV/atom. The value obtained for the relative energy among the computed polymorphs is 0 kJ/mol of formula units. The formation enthalpy at 0 K comes out at 0.017 eV/atom. As for the total magnetization: 0.00 μB/cell. The density comes out at 6853 kg/m3.



7.
DFT (PBE-GGA) results for a relaxed structure of La2NdHo.

Unit cell a=12.149 b=12.149 c=12.149 alpha=17.42 beta=17.42 gamma=17.42
Element x y z (fractional)
La  0.000  0.000  0.000
La  0.170  0.170  0.170
Nd  0.417  0.417  0.417
Ho  0.586  0.586  0.586

Values from the calculation:
Its calculated volume is 35.07 Å³ per atom. For the final energy, the calculation gives -4.776 eV/atom. The value obtained for the relative energy among the computed polymorphs is 4 kJ/mol of formula units. The formation enthalpy at 0 K comes out at 0.024 eV/atom. As for the total magnetization: 0.00 μB/cell. The density comes out at 6949 kg/m3.



8.
DFT (PBE-GGA) results for a relaxed structure of La3Nd3Ho8.

Unit cell a=9.823 b=9.823 c=9.823 alpha=146.16 beta=113.05 gamma=77.17
Element x y z (fractional)
La  0.000  0.000  0.000
La  0.188  0.688  0.500
La  0.812  0.312  0.500
Nd  0.199  0.500  0.699
Nd  0.500  0.500  0.000
Nd  0.801  0.500  0.301
Ho  0.119  0.281  0.838
Ho  0.238  0.898  0.340
Ho  0.442  0.102  0.340
Ho  0.443  0.281  0.162
Ho  0.557  0.719  0.838
Ho  0.558  0.898  0.660
Ho  0.762  0.102  0.660
Ho  0.881  0.719  0.162

Values from the calculation:
Its calculated volume is 33.99 Å³ per atom. For the final energy, the calculation gives -4.591 eV/atom. The formation enthalpy at 0 K comes out at 0.102 eV/atom. As for the total magnetization: 0.00 μB/cell. The density comes out at 7569 kg/m3.



9.
DFT (PBE-GGA) results for a relaxed structure of La6Nd3Ho.

Unit cell a=11.241 b=11.241 c=6.659 alpha=90.00 beta=90.00 gamma=121.59
Element x y z (fractional)
La  0.031  0.969  0.500
La  0.071  0.485  0.015
La  0.281  0.719  0.306
La  0.287  0.366  0.203
La  0.366  0.287  0.703
La  0.485  0.071  0.515
La  0.515  0.929  0.015
La  0.634  0.713  0.203
La  0.713  0.634  0.703
La  0.719  0.281  0.806
La  0.929  0.515  0.515
La  0.969  0.031  0.000
Nd  0.057  0.295  0.609
Nd  0.295  0.057  0.109
Nd  0.384  0.616  0.725
Nd  0.616  0.384  0.225
Nd  0.705  0.943  0.609
Nd  0.943  0.705  0.109
Ho  0.188  0.812  0.753
Ho  0.812  0.188  0.253

Values from the calculation:
Its calculated volume is 35.84 Å³ per atom. For the final energy, the calculation gives -4.732 eV/atom. The value obtained for the relative energy among the computed polymorphs is 54 kJ/mol of formula units. The formation enthalpy at 0 K comes out at 0.113 eV/atom. As for the total magnetization: 0.00 μB/cell. The density comes out at 6631 kg/m3.



10.
DFT (PBE-GGA) results for a relaxed structure of LaNdHo3.

Unit cell a=6.610 b=6.758 c=8.207 alpha=74.51 beta=72.38 gamma=84.55
Element x y z (fractional)
La  0.098  0.294  0.143
La  0.902  0.706  0.857
Nd  0.116  0.249  0.671
Nd  0.884  0.751  0.329
Ho  0.327  0.843  0.992
Ho  0.332  0.915  0.405
Ho  0.493  0.542  0.707
Ho  0.507  0.458  0.293
Ho  0.668  0.085  0.595
Ho  0.673  0.157  0.008

Values from the calculation:
Its calculated volume is 33.67 Å³ per atom. For the final energy, the calculation gives -4.611 eV/atom. The value obtained for the relative energy among the computed polymorphs is 0 kJ/mol of formula units. The formation enthalpy at 0 K comes out at 0.075 eV/atom. As for the total magnetization: 0.00 μB/cell. The density comes out at 7673 kg/m3.



11.
DFT (PBE-GGA) results for a relaxed structure of La4Nd2Ho3.

Unit cell a=10.017 b=8.536 c=6.960 alpha=79.84 beta=57.01 gamma=43.15
Element x y z (fractional)
La  0.048  0.333  0.667
La  0.333  0.048  0.952
La  0.667  0.952  0.048
La  0.952  0.667  0.333
Nd  0.391  0.391  0.609
Nd  0.609  0.609  0.391
Ho  0.000  0.000  0.000
Ho  0.000  0.000  0.500
Ho  0.500  0.500  0.000

Values from the calculation:
Its calculated volume is 35.01 Å³ per atom. For the final energy, the calculation gives -4.631 eV/atom. The value obtained for the relative energy among the computed polymorphs is 105 kJ/mol of formula units. The formation enthalpy at 0 K comes out at 0.145 eV/atom. As for the total magnetization: 0.00 μB/cell. The density comes out at 7057 kg/m3.



12.
DFT (PBE-GGA) results for a relaxed structure of La6Nd16Ho7.

Unit cell a=11.388 b=11.388 c=11.388 alpha=60.00 beta=60.00 gamma=60.00
Element x y z (fractional)
La  0.212  0.212  0.788
La  0.212  0.788  0.212
La  0.212  0.788  0.788
La  0.788  0.212  0.212
La  0.788  0.212  0.788
La  0.788  0.788  0.212
Nd  0.130  0.623  0.623
Nd  0.154  0.154  0.154
Nd  0.154  0.154  0.539
Nd  0.154  0.539  0.154
Nd  0.377  0.377  0.377
Nd  0.377  0.377  0.870
Nd  0.377  0.870  0.377
Nd  0.461  0.846  0.846
Nd  0.539  0.154  0.154
Nd  0.623  0.130  0.623
Nd  0.623  0.623  0.130
Nd  0.623  0.623  0.623
Nd  0.846  0.461  0.846
Nd  0.846  0.846  0.461
Nd  0.846  0.846  0.846
Nd  0.870  0.377  0.377
Ho  0.000  0.000  0.500
Ho  0.000  0.500  0.000
Ho  0.000  0.500  0.500
Ho  0.500  0.000  0.000
Ho  0.500  0.000  0.500
Ho  0.500  0.500  0.000
Ho  0.500  0.500  0.500

Values from the calculation:
Its calculated volume is 36.01 Å³ per atom. For the final energy, the calculation gives -4.562 eV/atom. The formation enthalpy at 0 K comes out at 0.193 eV/atom. As for the total magnetization: 0.18 μB/cell. The density comes out at 6830 kg/m3.